{
  "formula": "SmGa3CoOs",
  "functional": "GGA-PBE",
  "state": "optimized geometry",
  "e_form_ev_per_atom": -0.1903,
  "lattice_angstrom": [[3.835, -5.228, 0.000], [3.835, 5.228, 0.000], [0.000, 0.000, 5.714]],
  "species": ["Sm", "Sm", "Ga", "Ga", "Ga", "Ga", "Ga", "Ga", "Co", "Co", "Os", "Os"],
  "fractional_positions": [[0.218, 0.782, 0.750], [0.782, 0.218, 0.250], [0.252, 0.252, 0.000], [0.252, 0.252, 0.500], [0.304, 0.696, 0.250], [0.696, 0.304, 0.750], [0.748, 0.748, 0.000], [0.748, 0.748, 0.500], [0.480, 0.520, 0.750], [0.520, 0.480, 0.250], [0.075, 0.925, 0.250], [0.925, 0.075, 0.750]]
}

=====

{
  "formula": "Ba2C",
  "functional": "GGA-PBE",
  "state": "optimized geometry",
  "e_form_ev_per_atom": 0.6930,
  "lattice_angstrom": [[7.620, -1.903, 0.000], [7.620, 1.903, 0.000], [-3.577, 0.000, 7.636]],
  "species": ["Ba", "Ba", "Ba", "Ba", "C", "C"],
  "fractional_positions": [[0.006, 0.006, 0.204], [0.259, 0.259, 0.209], [0.741, 0.741, 0.791], [0.994, 0.994, 0.796], [0.373, 0.373, 0.994], [0.627, 0.627, 0.006]]
}

=====

{
  "formula": "Pm3B2C3",
  "functional": "GGA-PBE",
  "state": "optimized geometry",
  "e_form_ev_per_atom": 0.0232,
  "lattice_angstrom": [[1.485, -5.185, 0.000], [1.485, 5.185, 0.000], [0.000, 0.000, 14.862]],
  "species": ["Pm", "Pm", "Pm", "Pm", "Pm", "Pm", "B", "B", "B", "B", "C", "C", "C", "C", "C", "C"],
  "fractional_positions": [[0.123, 0.877, 0.603], [0.123, 0.877, 0.897], [0.373, 0.627, 0.750], [0.627, 0.373, 0.250], [0.877, 0.123, 0.103], [0.877, 0.123, 0.397], [0.139, 0.861, 0.087], [0.139, 0.861, 0.413], [0.861, 0.139, 0.587], [0.861, 0.139, 0.913], [0.359, 0.641, 0.250], [0.383, 0.617, 0.571], [0.383, 0.617, 0.929], [0.617, 0.383, 0.071], [0.617, 0.383, 0.429], [0.641, 0.359, 0.750]]
}

=====

{
  "formula": "BaCuIr",
  "functional": "GGA-PBE",
  "state": "optimized geometry",
  "e_form_ev_per_atom": 0.0474,
  "lattice_angstrom": [[4.262, 0.000, 0.000], [-2.131, 3.691, 0.000], [0.000, 0.000, 4.693]],
  "species": ["Ba", "Cu", "Ir"],
  "fractional_positions": [[0.000, 0.000, 0.000], [0.667, 0.333, 0.500], [0.333, 0.667, 0.500]]
}

=====

{
  "formula": "Cs4CuAg3Cl12",
  "functional": "GGA-PBE",
  "state": "optimized geometry",
  "formation_energy_uncorrected_ev_per_atom": -1.083,
  "lattice_angstrom": [[-5.162, 5.162, 5.162], [5.162, -5.162, 5.162], [5.162, 5.162, -5.162]],
  "species": ["Cs", "Cs", "Cs", "Cs", "Cu", "Ag", "Ag", "Ag", "Cl", "Cl", "Cl", "Cl", "Cl", "Cl", "Cl", "Cl", "Cl", "Cl", "Cl", "Cl"],
  "fractional_positions": [[0.000, 0.000, 0.500], [0.000, 0.500, 0.000], [0.500, 0.000, 0.000], [0.500, 0.500, 0.500], [0.000, 0.000, 0.000], [0.000, 0.500, 0.500], [0.500, 0.000, 0.500], [0.500, 0.500, 0.000], [0.000, 0.235, 0.235], [0.000, 0.765, 0.765], [0.235, 0.000, 0.235], [0.235, 0.235, 0.000], [0.250, 0.500, 0.750], [0.250, 0.750, 0.500], [0.500, 0.250, 0.750], [0.500, 0.750, 0.250], [0.750, 0.250, 0.500], [0.750, 0.500, 0.250], [0.765, 0.000, 0.765], [0.765, 0.765, 0.000]]
}

=====

{
  "formula": "Sm2Er3Th2",
  "functional": "GGA-PBE",
  "state": "optimized geometry",
  "e_form_ev_per_atom": 0.1425,
  "lattice_angstrom": [[8.772, -1.720, 0.000], [8.772, 1.720, 0.000], [-4.194, 0.000, 7.486]],
  "species": ["Sm", "Sm", "Er", "Er", "Er", "Th", "Th"],
  "fractional_positions": [[0.063, 0.063, 0.217], [0.937, 0.937, 0.783], [0.284, 0.284, 0.369], [0.500, 0.500, 0.500], [0.716, 0.716, 0.631], [0.346, 0.346, 0.045], [0.654, 0.654, 0.955]]
}

=====

Number 1: magnetization 0.00 Bohr magnetons per cell. Number 2: magnetization 0.58 Bohr magnetons per cell. Number 3: magnetization 0.00 Bohr magnetons per cell. Number 4: magnetization 0.00 Bohr magnetons per cell. Number 5: magnetization 0.00 Bohr magnetons per cell. Number 6: magnetization 0.00 Bohr magnetons per cell.